Compound: CrCu2Pt
Source: Alexandria via LeMat-Bulk
Functional: GGA-PBEsol
Structure: relaxed

Properties
V: 12.5 Å³/atom
energy: -25.247 eV/cell
DOS(E_F): 3.30 states/eV/f.u.
energy of formation: 60.5 kJ/mol of formula units
calculated density: 12.43 Mg/m³

Unit cell a=2.598 b=2.598 c=8.684 alpha=81.40 beta=81.40 gamma=60.00
Fractional positions:
Cu: 0.747 0.747 0.759
Cu: 0.253 0.253 0.241
Pt: 0.500 0.500 0.500
Cr: 0.000 0.000 0.000



Compound: CrCuPt2
Source: Alexandria via LeMat-Bulk
Functional: GGA-PBEsol
Structure: relaxed

Properties
V: 13.6 Å³/atom
energy: -28.966 eV/cell
DOS(E_F): 3.13 states/eV/f.u.
energy of formation: -44.7 kJ/mol of formula units
calculated density: 15.43 Mg/m³

Unit cell a=2.754 b=4.538 c=4.538 alpha=106.40 beta=90.00 gamma=90.00
Site moments in Bohr magnetons follow the coordinates.
Fractional positions:
Pt: 0.000 0.500 0.000  0.10
Cr: 0.500 0.000 0.000  2.66
Pt: 0.000 0.000 0.500  0.05
Cu: 0.500 0.500 0.500  0.05